VASP calculation (PBE) on Ba2TaTc after structural relaxation.

Unit cell a=5.440 b=5.440 c=5.440 alpha=60.00 beta=60.00 gamma=60.00
Each line ends with the local moment (μB).
Sites, in units of the cell vectors:
1 Tc 0.000 0.000 0.000  1.55
2 Ba 0.250 0.250 0.250  0.04
3 Ba 0.750 0.750 0.750  0.04
4 Ta 0.500 0.500 0.500  0.85

* space group: Fm-3m
* total moment: 3.1 μB/f.u.
* density of states at the Fermi level: 6.91 states/eV/f.u.
* energy relative to the lowest polymorph listed for this composition: 1.261 eV/atom
* E: -19.4 eV per cell

VASP calculation (PBE) on BaTa2Tc after structural relaxation.

Unit cell a=5.929 b=5.929 c=2.889 alpha=90.00 beta=90.00 gamma=124.15
Sites, in units of the cell vectors:
1 Ta 0.000 0.000 0.000
2 Ta 0.500 0.500 0.000
3 Tc 0.500 0.000 0.500
4 Ba 0.000 0.500 0.500

* space group: Cmmm
* total moment: 0.0 μB/f.u.
* density of states at the Fermi level: 4.10 states/eV/f.u.
* energy relative to the lowest polymorph listed for this composition: 0.754 eV/atom
* E: -31.1 eV per cell

VASP calculation (PBE) on BaTa2Tc after structural relaxation.

Unit cell a=4.976 b=4.976 c=6.825 alpha=85.48 beta=85.48 gamma=38.33
Sites, in units of the cell vectors:
1 Ta 0.752 0.752 0.739
2 Ta 0.017 0.017 0.888
3 Tc 0.489 0.489 0.616
4 Ba 0.242 0.242 0.258

* space group: Cm
* total moment: 0.0 μB/f.u.
* density of states at the Fermi level: 4.18 states/eV/f.u.
* energy relative to the lowest polymorph listed for this composition: 0.217 eV/atom
* E: -33.2 eV per cell

VASP calculation (PBE) on Ba2TaTc after structural relaxation.

Unit cell a=5.312 b=5.312 c=5.312 alpha=119.75 beta=119.75 gamma=90.44
Each line ends with the local moment (μB).
Sites, in units of the cell vectors:
1 Ba 0.250 0.750 0.500  0.09
2 Ba 0.000 0.000 0.000  0.02
3 Tc 0.750 0.250 0.500  -0.62
4 Ta 0.500 0.500 0.000  0.68

* space group: I-4m2
* total moment: 0.5 μB/f.u.
* density of states at the Fermi level: 6.25 states/eV/f.u.
* energy relative to the lowest polymorph listed for this composition: 0.909 eV/atom
* E: -20.8 eV per cell

VASP calculation (PBE) on BaTaTc4 after structural relaxation.

Unit cell a=5.399 b=5.399 c=5.399 alpha=60.00 beta=60.00 gamma=60.00
Sites, in units of the cell vectors:
1 Tc 0.374 0.374 0.878
2 Tc 0.374 0.878 0.374
3 Tc 0.878 0.374 0.374
4 Tc 0.374 0.374 0.374
5 Ba 0.750 0.750 0.750
6 Ta 0.000 0.000 0.000

* space group: F-43m
* total moment: 0.0 μB/f.u.
* density of states at the Fermi level: 11.43 states/eV/f.u.
* E: -51.0 eV per cell

VASP calculation (PBE) on BaTaTc after structural relaxation.

Unit cell a=4.759 b=4.759 c=4.759 alpha=60.00 beta=60.00 gamma=60.00
Sites, in units of the cell vectors:
1 Tc 0.750 0.750 0.750
2 Ba 0.000 0.000 0.000
3 Ta 0.500 0.500 0.500

* space group: F-43m
* total moment: 0.0 μB/f.u.
* density of states at the Fermi level: 3.46 states/eV/f.u.
* energy relative to the lowest polymorph listed for this composition: 0.712 eV/atom
* E: -20.5 eV per cell

VASP calculation (PBE) on Ba3TaTc after structural relaxation.

Unit cell a=5.812 b=5.812 c=5.812 alpha=90.00 beta=90.00 gamma=90.00
Each line ends with the local moment (μB).
Sites, in units of the cell vectors:
1 Ba 0.000 0.500 0.000  0.07
2 Ba 0.000 0.000 0.500  0.08
3 Ba 0.500 0.000 0.000  0.08
4 Tc 0.000 0.000 0.000  0.16
5 Ta 0.500 0.500 0.500  2.32

* space group: Pm-3m
* total moment: 5.1 μB/f.u.
* density of states at the Fermi level: 5.32 states/eV/f.u.
* energy relative to the lowest polymorph listed for this composition: 0.000 eV/atom
* E: -21.0 eV per cell

VASP calculation (PBE) on BaTa3Tc after structural relaxation.

Unit cell a=4.961 b=4.961 c=4.961 alpha=90.00 beta=90.00 gamma=90.00
Sites, in units of the cell vectors:
1 Ta 0.000 0.000 0.500
2 Ta 0.500 0.000 0.000
3 Ta 0.000 0.500 0.000
4 Tc 0.500 0.500 0.500
5 Ba 0.000 0.000 0.000

* space group: Pm-3m
* total moment: 0.0 μB/f.u.
* density of states at the Fermi level: 5.47 states/eV/f.u.
* energy relative to the lowest polymorph listed for this composition: 2.296 eV/atom
* E: -31.1 eV per cell

VASP calculation (PBE) on Ba4TaTc after structural relaxation.

Unit cell a=6.926 b=6.926 c=6.926 alpha=60.00 beta=60.00 gamma=60.00
Each line ends with the local moment (μB).
Sites, in units of the cell vectors:
1 Tc 0.000 0.000 0.000  2.99
2 Ba 0.375 0.375 0.875  -0.02
3 Ba 0.875 0.375 0.375  -0.02
4 Ba 0.375 0.875 0.375  -0.02
5 Ba 0.375 0.375 0.375  -0.02
6 Ta 0.750 0.750 0.750  1.94

* space group: F-43m
* total moment: 6.6 μB/f.u.
* density of states at the Fermi level: 8.83 states/eV/f.u.
* E: -19.5 eV per cell

VASP calculation (PBE) on Ba2TaTc after structural relaxation.

Unit cell a=4.281 b=4.289 c=5.713 alpha=90.00 beta=90.00 gamma=90.00
Sites, in units of the cell vectors:
1 Ta 0.500 0.000 0.500
2 Tc 0.000 0.500 0.500
3 Ba 0.500 0.500 0.000
4 Ba 0.000 0.000 0.000

* space group: P4/mmm
* total moment: 0.0 μB/f.u.
* density of states at the Fermi level: 4.32 states/eV/f.u.
* energy relative to the lowest polymorph listed for this composition: 0.901 eV/atom
* E: -20.9 eV per cell

VASP calculation (PBE) on Ba2TaTc after structural relaxation.

Unit cell a=10.072 b=10.072 c=3.951 alpha=78.74 beta=78.74 gamma=19.88
Sites, in units of the cell vectors:
1 Ba 0.102 0.102 0.898
2 Ba 0.398 0.398 0.602
3 Ta 0.250 0.250 0.250
4 Tc 0.750 0.750 0.750

* space group: C2/m
* total moment: 0.0 μB/f.u.
* density of states at the Fermi level: 4.54 states/eV/f.u.
* energy relative to the lowest polymorph listed for this composition: 0.156 eV/atom
* E: -23.8 eV per cell

VASP calculation (PBE) on BaTaTc after structural relaxation.

Unit cell a=3.350 b=3.350 c=7.657 alpha=90.00 beta=90.00 gamma=120.00
Sites, in units of the cell vectors:
1 Ta 0.667 0.333 0.403
2 Tc 0.333 0.667 0.616
3 Ba 0.000 0.000 0.981

* space group: P3m1
* total moment: 0.0 μB/f.u.
* density of states at the Fermi level: 3.13 states/eV/f.u.
* energy relative to the lowest polymorph listed for this composition: 0.262 eV/atom
* E: -21.9 eV per cell

Repeat the eleventh record exactly.
VASP calculation (PBE) on Ba2TaTc after structural relaxation.

Unit cell a=10.072 b=10.072 c=3.951 alpha=78.74 beta=78.74 gamma=19.88
Sites, in units of the cell vectors:
1 Ba 0.102 0.102 0.898
2 Ba 0.398 0.398 0.602
3 Ta 0.250 0.250 0.250
4 Tc 0.750 0.750 0.750

* space group: C2/m
* total moment: 0.0 μB/f.u.
* density of states at the Fermi level: 4.54 states/eV/f.u.
* energy relative to the lowest polymorph listed for this composition: 0.156 eV/atom
* E: -23.8 eV per cell